Version A
Compound: AcY3Tm
Source: the Alexandria database
Functional: PBE-GGA
Structure: optimized geometry

The crystal system is orthorhombic.

The space group is Cmc2_1 (No. 36) and the conventional cell measures 5.539, 17.362 and 7.127 Å, with angles of 90.00, 90.00 and 90.00 degrees. The distinct sites, in fractional coordinates, are Ac at (0.000, 0.197, 0.000), Y at (0.000, 0.003, 0.503), Y at (0.000, 0.194, 0.501), Y at (0.000, 0.399, 0.756) and Tm at (0.000, 0.397, 0.246).

---

Version B
Compound: AcY3Tm
Source: the Alexandria database
Functional: PBE-GGA
Structure: optimized geometry

The crystal system is monoclinic.

The space group is C2/m (No. 12) and the conventional cell measures 18.445, 4.880 and 8.642 Å, with angles of 90.00, 112.34 and 90.00 degrees. The distinct sites, in fractional coordinates, are Ac at (0.116, 0.000, 0.146), Y at (0.057, 0.000, 0.700), Y at (0.085, 0.500, 0.445), Y at (0.227, 0.000, 0.629) and Tm at (0.190, 0.500, 0.890).

---

Which of them is most stable? Easy: version A.

---

Version A
Compound: AcY6Tm
Source: the Alexandria database
Functional: PBE-GGA
Structure: optimized geometry

The crystal system is trigonal.

The space group is R-3 (No. 148, hexagonal axes) and the conventional cell measures 9.7581, 9.7581 and 9.9902 Å, with angles of 90.00, 90.00 and 120.00 degrees. The distinct sites, in fractional coordinates, are Ac at (0.0000, 0.0000, 0.0000), Y at (0.0037, 0.7092, 0.2521) and Tm at (0.0000, 0.0000, 0.5000).

---

Version B
Compound: AcY6Tm
Source: the Alexandria database
Functional: PBE-GGA
Structure: optimized geometry

The crystal system is triclinic.

The space group is P-1 (No. 2) and the conventional cell measures 6.731, 6.846 and 6.870 Å, with angles of 119.68, 91.38 and 95.58 degrees. The distinct sites, in fractional coordinates, are Ac at (0.000, 0.000, 0.000), Y at (0.260, 0.573, 0.522), Y at (0.262, 0.567, 0.042), Y at (0.277, 0.093, 0.544) and Tm at (0.500, 0.000, 0.000).

---

Which of them is most stable? Easy: version A.

---

Version A
Compound: AcY7Tm3
Source: the Alexandria database
Functional: PBE-GGA
Structure: optimized geometry

The crystal system is orthorhombic.

The space group is Immm (No. 71) and the conventional cell measures 5.936, 11.195 and 11.257 Å, with angles of 90.00, 90.00 and 90.00 degrees. The distinct sites, in fractional coordinates, are Ac at (0.000, 0.000, 0.000), Y at (0.000, 0.206, 0.305), Y at (0.000, 0.307, 0.000), Y at (0.000, 0.500, 0.500), Tm at (0.000, 0.000, 0.500) and Tm at (0.000, 0.500, 0.210).

---

Version B
Compound: AcY7Tm3
Source: the Alexandria database
Functional: PBE-GGA
Structure: optimized geometry

The crystal system is orthorhombic.

The space group is Cmcm (No. 63) and the conventional cell measures 17.081, 10.035 and 8.945 Å, with angles of 90.00, 90.00 and 90.00 degrees. The distinct sites, in fractional coordinates, are Ac at (0.000, 0.000, 0.000), Y at (0.000, 0.261, 0.250), Y at (0.155, 0.256, 0.574), Y at (0.167, 0.426, 0.250), Tm at (0.000, 0.500, 0.000) and Tm at (0.169, 0.076, 0.250).

---

Which of them is most stable? Easy: version B.

---

Version A
Compound: Ac4YTm
Source: the Alexandria database
Functional: PBE-GGA
Structure: optimized geometry

The crystal system is cubic.

The space group is F-43m (No. 216) and the conventional cell measures 10.080, 10.080 and 10.080 Å, with angles of 90.00, 90.00 and 90.00 degrees. The distinct sites, in fractional coordinates, are Ac at (0.125, 0.125, 0.125), Y at (0.000, 0.000, 0.500) and Tm at (0.250, 0.250, 0.750).

---

Version B
Compound: Ac4YTm
Source: the Alexandria database
Functional: PBE-GGA
Structure: optimized geometry

The crystal system is orthorhombic.

The space group is Pmmm (No. 47) and the conventional cell measures 3.724, 5.821 and 11.258 Å, with angles of 90.00, 90.00 and 90.00 degrees. The distinct sites, in fractional coordinates, are Ac at (0.000, 0.000, 0.156), Ac at (0.000, 0.500, 0.342), Y at (0.500, 0.000, 0.500) and Tm at (0.500, 0.500, 0.000).

---

Which of them is most stable? Easy: version B.

---

Version A
Compound: AcTm2Zn
Source: the Alexandria database
Functional: PBE-GGA
Structure: optimized geometry

The crystal system is tetragonal.

The space group is P4/mmm (No. 123) and the conventional cell measures 3.614, 3.614 and 9.013 Å, with angles of 90.00, 90.00 and 90.00 degrees. The distinct sites, in fractional coordinates, are Ac at (0.000, 0.000, 0.000), Tm at (0.500, 0.500, 0.311) and Zn at (0.000, 0.000, 0.500).

---

Version B
Compound: AcTm2Zn
Source: the Alexandria database
Functional: PBE-GGA
Structure: optimized geometry

The crystal system is tetragonal.

The space group is P4/mmm (No. 123) and the conventional cell measures 4.827, 4.827 and 5.057 Å, with angles of 90.00, 90.00 and 90.00 degrees. The distinct sites, in fractional coordinates, are Ac at (0.000, 0.000, 0.000), Tm at (0.000, 0.500, 0.500) and Zn at (0.500, 0.500, 0.000).

---

Version C
Compound: AcTm2Zn
Source: the Alexandria database
Functional: PBE-GGA
Structure: optimized geometry

The crystal system is trigonal.

The space group is R3m (No. 160, hexagonal axes) and the conventional cell measures 3.6981, 3.6981 and 31.0760 Å, with angles of 90.00, 90.00 and 120.00 degrees. The distinct sites, in fractional coordinates, are Ac at (0.0000, 0.0000, 0.0000), Tm at (0.0000, 0.0000, 0.2340), Tm at (0.0000, 0.0000, 0.4344) and Zn at (0.0000, 0.0000, 0.8346).

---

Version D
Compound: AcTm2Zn
Source: the Alexandria database
Functional: PBE-GGA
Structure: optimized geometry

The crystal system is trigonal.

The space group is R-3m (No. 166, hexagonal axes) and the conventional cell measures 3.5701, 3.5701 and 34.1201 Å, with angles of 90.00, 90.00 and 120.00 degrees. The distinct sites, in fractional coordinates, are Ac at (0.0000, 0.0000, 0.0000), Tm at (0.0000, 0.0000, 0.1045) and Zn at (0.0000, 0.0000, 0.5000).

---

Which of them is most stable? Easy: version A.

---

Version A
Compound: AcTmZr
Source: the Alexandria database
Functional: PBE-GGA
Structure: optimized geometry

The crystal system is tetragonal.

The space group is P4/nmm (No. 129, origin choice 2) and the conventional cell measures 4.151, 4.151 and 11.958 Å, with angles of 90.00, 90.00 and 90.00 degrees. The distinct sites, in fractional coordinates, are Ac at (0.250, 0.250, 0.239), Tm at (0.250, 0.250, 0.568) and Zr at (0.250, 0.750, 0.000).

---

Version B
Compound: AcTmZr
Source: the Alexandria database
Functional: PBE-GGA
Structure: optimized geometry

The crystal system is tetragonal.

The space group is I4mm (No. 107) and the conventional cell measures 3.507, 3.507 and 15.440 Å, with angles of 90.00, 90.00 and 90.00 degrees. The distinct sites, in fractional coordinates, are Ac at (0.000, 0.000, 0.000), Tm at (0.000, 0.000, 0.692) and Zr at (0.000, 0.000, 0.332).

---

Version C
Compound: AcTmZr
Source: the Alexandria database
Functional: PBE-GGA
Structure: optimized geometry

The crystal system is trigonal.

The space group is P3m1 (No. 156) and the conventional cell measures 3.5730, 3.5730 and 8.4798 Å, with angles of 90.00, 90.00 and 120.00 degrees. The distinct sites, in fractional coordinates, are Ac at (0.0000, 0.0000, 0.0000), Tm at (0.3333, 0.6667, 0.6285) and Zr at (0.6667, 0.3333, 0.3280).

---

Which of them is most stable? Easy: version B.

---

Version A
Compound: AcY
Source: the Alexandria database
Functional: PBE-GGA
Structure: optimized geometry

The crystal system is cubic.

The space group is Pm-3m (No. 221) and the conventional cell measures 4.244, 4.244 and 4.244 Å, with angles of 90.00, 90.00 and 90.00 degrees. The distinct sites, in fractional coordinates, are Ac at (0.000, 0.000, 0.000) and Y at (0.500, 0.500, 0.500).

---

Version B
Compound: AcY
Source: the Alexandria database
Functional: PBE-GGA
Structure: optimized geometry

The crystal system is orthorhombic.

The space group is Pmmn (No. 59, origin choice 2) and the conventional cell measures 3.803, 5.379 and 7.465 Å, with angles of 90.00, 90.00 and 90.00 degrees. The distinct sites, in fractional coordinates, are Ac at (0.250, 0.250, 0.133) and Y at (0.250, 0.250, 0.616).

---

Which of them is most stable? Easy: version B.

---

Version A
Compound: Ac5Y
Source: the Alexandria database
Functional: PBE-GGA
Structure: optimized geometry

The crystal system is orthorhombic.

The space group is Cmmm (No. 65) and the conventional cell measures 5.545, 16.678 and 5.560 Å, with angles of 90.00, 90.00 and 90.00 degrees. The distinct sites, in fractional coordinates, are Ac at (0.000, 0.000, 0.000), Ac at (0.000, 0.163, 0.500), Ac at (0.000, 0.335, 0.000) and Y at (0.000, 0.500, 0.500).

---

Version B
Compound: Ac5Y
Source: the Alexandria database
Functional: PBE-GGA
Structure: optimized geometry

The crystal system is hexagonal.

The space group is P6/mmm (No. 191) and the conventional cell measures 7.1410, 7.1410 and 6.4399 Å, with angles of 90.00, 90.00 and 120.00 degrees. The distinct sites, in fractional coordinates, are Ac at (0.0000, 0.5000, 0.0000), Ac at (0.3333, 0.6667, 0.5000) and Y at (0.0000, 0.0000, 0.5000).

---

Which of them is most stable? Easy: version A.

---

Version A
Compound: Ac2Y
Source: the Alexandria database
Functional: PBE-GGA
Structure: optimized geometry

The crystal system is tetragonal.

The space group is I4_1/amd (No. 141, origin choice 2) and the conventional cell measures 3.784, 3.784 and 35.068 Å, with angles of 90.00, 90.00 and 90.00 degrees. The distinct sites, in fractional coordinates, are Ac at (0.000, 0.250, 0.299) and Y at (0.000, 0.250, 0.875).

---

Version B
Compound: Ac2Y
Source: the Alexandria database
Functional: PBE-GGA
Structure: optimized geometry

The crystal system is orthorhombic.

The space group is Fmmm (No. 69) and the conventional cell measures 6.254, 6.263 and 12.516 Å, with angles of 90.00, 90.00 and 90.00 degrees. The distinct sites, in fractional coordinates, are Ac at (0.000, 0.000, 0.156) and Y at (0.000, 0.000, 0.500).

---

Version C
Compound: Ac2Y
Source: the Alexandria database
Functional: PBE-GGA
Structure: optimized geometry

The crystal system is cubic.

The space group is Fd-3m (No. 227, origin choice 2) and the conventional cell measures 10.101, 10.101 and 10.101 Å, with angles of 90.00, 90.00 and 90.00 degrees. The distinct sites, in fractional coordinates, are Ac at (0.000, 0.000, 0.000) and Y at (0.125, 0.125, 0.625).

---

Which of them is most stable? Easy: version B.

---

Version A
Compound: AcY2
Source: the Alexandria database
Functional: PBE-GGA
Structure: optimized geometry

The crystal system is cubic.

The space group is Fd-3m (No. 227, origin choice 2) and the conventional cell measures 9.781, 9.781 and 9.781 Å, with angles of 90.00, 90.00 and 90.00 degrees. The distinct sites, in fractional coordinates, are Ac at (0.125, 0.125, 0.125) and Y at (0.000, 0.000, 0.500).

---

Version B
Compound: AcY2
Source: the Alexandria database
Functional: PBE-GGA
Structure: optimized geometry

The crystal system is tetragonal.

The space group is I4/mmm (No. 139) and the conventional cell measures 3.745, 3.745 and 15.492 Å, with angles of 90.00, 90.00 and 90.00 degrees. The distinct sites, in fractional coordinates, are Ac at (0.000, 0.000, 0.000) and Y at (0.000, 0.000, 0.328).

---

Which of them is most stable? Easy: version B.

---

Version A
Compound: AcY5
Source: the Alexandria database
Functional: PBE-GGA
Structure: optimized geometry

The crystal system is monoclinic.

The space group is Cm (No. 8) and the conventional cell measures 13.258, 3.728 and 8.616 Å, with angles of 90.00, 103.52 and 90.00 degrees. The distinct sites, in fractional coordinates, are Ac at (0.000, 0.000, 0.000), Y at (0.054, 0.000, 0.602), Y at (0.168, 0.500, 0.334), Y at (0.222, 0.500, 0.931), Y at (0.329, 0.000, 0.655) and Y at (0.382, 0.000, 0.279).

---

Version B
Compound: AcY5
Source: the Alexandria database
Functional: PBE-GGA
Structure: optimized geometry

The crystal system is tetragonal.

The space group is P4/mmm (No. 123) and the conventional cell measures 3.653, 3.653 and 15.386 Å, with angles of 90.00, 90.00 and 90.00 degrees. The distinct sites, in fractional coordinates, are Ac at (0.000, 0.000, 0.000), Y at (0.000, 0.000, 0.339), Y at (0.500, 0.500, 0.178) and Y at (0.500, 0.500, 0.500).

---

Version C
Compound: AcY5
Source: the Alexandria database
Functional: PBE-GGA
Structure: optimized geometry

The crystal system is orthorhombic.

The space group is Cmmm (No. 65) and the conventional cell measures 5.896, 18.014 and 3.892 Å, with angles of 90.00, 90.00 and 90.00 degrees. The distinct sites, in fractional coordinates, are Ac at (0.000, 0.000, 0.000), Y at (0.000, 0.183, 0.500), Y at (0.000, 0.344, 0.000) and Y at (0.000, 0.500, 0.500).

---

Which of them is most stable? Easy: version A.